1.
VWSeS2: relaxed, PBE-GGA.

Geometry as POSCAR:
```
VWSeS2
1.0
4.289 0.000 0.000
0.000 5.185 0.000
0.000 0.000 4.289
S Se V W
2 1 1 1
direct
0.500 0.000 0.000
0.000 0.000 0.500
0.500 0.500 0.500
0.000 0.000 0.000
0.000 0.500 0.000
```

Results
Total energy ... -30.0 eV per formula unit
Energy relative to the elements, uncorrected ... 0.76 eV/atom

=====

2.
VW2Se4S2: relaxed, PBE-GGA.

Geometry as POSCAR:
```
VW2Se4S2
1.0
3.281 0.000 0.000
-1.641 2.842 0.000
0.000 0.000 21.381
Se V S W
4 1 2 2
direct
0.667 0.333 0.064
0.667 0.333 0.905
0.000 0.000 0.725
0.000 0.000 0.566
0.000 0.000 0.329
0.667 0.333 0.397
0.667 0.333 0.260
0.667 0.333 0.646
0.000 0.000 0.985
```

Results
Total energy ... -63.1 eV per formula unit
Energy relative to the elements, uncorrected ... -0.66 eV/atom

=====

3.
WSeS: relaxed, PBE-GGA.

Geometry as POSCAR:
```
WSeS
1.0
3.250 0.000 0.000
-1.625 2.815 0.000
0.000 0.000 7.021
S W Se
1 1 1
direct
0.000 0.000 0.103
0.667 0.333 0.322
0.333 0.667 0.574
```

Results
Total energy ... -21.8 eV per formula unit
Energy relative to the elements, uncorrected ... -0.42 eV/atom

=====

4.
W2SeS2: relaxed, PBE-GGA.

Geometry as POSCAR:
```
W2SeS2
1.0
4.797 0.221 1.550
2.211 7.074 2.684
0.949 1.163 6.118
Se W S
2 4 4
direct
0.315 0.599 0.713
0.685 0.401 0.287
0.458 0.795 0.189
0.925 0.078 0.179
0.075 0.922 0.821
0.542 0.205 0.811
0.036 0.268 0.727
0.643 0.930 0.713
0.964 0.732 0.273
0.357 0.070 0.287
```

Results
Total energy ... -38.8 eV per formula unit
Energy relative to the elements, uncorrected ... -0.23 eV/atom

=====

5.
WSe2S2: relaxed, PBE-GGA.

Geometry as POSCAR:
```
WSe2S2
1.0
-2.557 1.478 -1.210
-1.260 0.214 2.925
3.121 10.733 2.300
Se W S
2 1 2
direct
0.431 0.431 0.137
0.569 0.569 0.863
0.000 0.000 0.000
0.750 0.250 0.500
0.250 0.750 0.500
```

Results
Total energy ... -27.5 eV per formula unit
Energy relative to the elements, uncorrected ... 0.14 eV/atom

=====

6.
W3SeS: relaxed, PBE-GGA.

Geometry as POSCAR:
```
W3SeS
1.0
-1.536 1.047 -4.065
3.963 -1.064 -1.771
-1.382 -4.213 -0.563
W Se S
3 1 1
direct
0.500 0.000 0.000
0.000 0.000 0.500
0.000 0.500 0.000
0.500 0.500 0.500
0.000 0.000 0.000
```

Results
Total energy ... -40.7 eV per formula unit
Energy relative to the elements, uncorrected ... 1.16 eV/atom

=====

7.
WSeS: relaxed, PBE-GGA.

Geometry as POSCAR:
```
WSeS
1.0
3.259 0.000 0.000
0.000 5.778 0.142
-1.629 -2.264 7.049
Se S W
2 2 2
direct
0.616 0.317 0.232
0.384 0.683 0.768
0.159 0.853 0.318
0.841 0.147 0.682
0.755 0.703 0.509
0.245 0.297 0.491
```

Results
Total energy ... -22.2 eV per formula unit
Energy relative to the elements, uncorrected ... -0.54 eV/atom

=====

8.
WSeS: relaxed, PBE-GGA.

Geometry as POSCAR:
```
WSeS
1.0
1.627 -2.818 0.000
1.627 2.818 0.000
0.000 0.000 29.020
S Se W
4 4 4
direct
0.667 0.333 0.677
0.333 0.667 0.430
0.667 0.333 0.570
0.333 0.667 0.323
0.333 0.667 0.813
0.667 0.333 0.070
0.667 0.333 0.187
0.333 0.667 0.930
0.333 0.667 0.623
0.667 0.333 0.871
0.667 0.333 0.377
0.333 0.667 0.129
```

Results
Total energy ... -22.6 eV per formula unit
Energy relative to the elements, uncorrected ... -0.68 eV/atom

=====

9.
WSeS2: relaxed, PBE-GGA.

Geometry as POSCAR:
```
WSeS2
1.0
-5.891 -2.121 -0.455
0.100 -1.580 6.075
-4.511 2.395 3.941
W S Se
2 4 2
direct
0.750 0.250 0.500
0.000 0.000 0.000
0.058 0.625 0.250
0.875 0.942 0.750
0.375 0.308 0.750
0.692 0.125 0.250
0.250 0.750 0.500
0.500 0.500 0.000
```

Results
Total energy ... -23.3 eV per formula unit
Energy relative to the elements, uncorrected ... 0.35 eV/atom

=====

10.
WSe3S: relaxed, PBE-GGA.

Geometry as POSCAR:
```
WSe3S
1.0
4.758 0.000 0.000
0.000 4.758 0.000
0.000 0.000 4.758
W Se S
1 3 1
direct
0.500 0.500 0.500
0.500 0.000 0.000
0.000 0.000 0.500
0.000 0.500 0.000
0.000 0.000 0.000
```

Results
Total energy ... -21.1 eV per formula unit
Energy relative to the elements, uncorrected ... 1.29 eV/atom

=====

11.
WSeS: relaxed, PBE-GGA.

Geometry as POSCAR:
```
WSeS
1.0
3.254 0.000 0.000
-1.627 2.818 0.000
0.000 0.000 15.270
S W Se
2 2 2
direct
0.667 0.333 0.038
0.667 0.333 0.835
0.667 0.333 0.461
0.000 0.000 0.937
0.000 0.000 0.349
0.000 0.000 0.573
```

Results
Total energy ... -22.6 eV per formula unit
Energy relative to the elements, uncorrected ... -0.68 eV/atom

=====

12.
W3Se2S4: relaxed, PBE-GGA.

Geometry as POSCAR:
```
W3Se2S4
1.0
-2.169 2.213 -0.920
-0.969 -2.978 0.799
-2.338 6.309 20.689
W S Se
3 4 2
direct
0.000 0.000 0.331
0.000 0.000 0.979
0.667 0.333 0.650
0.667 0.333 0.403
0.667 0.333 0.259
0.000 0.000 0.578
0.000 0.000 0.721
0.667 0.333 0.057
0.667 0.333 0.900
```

Results
Total energy ... -68.9 eV per formula unit
Energy relative to the elements, uncorrected ... -0.73 eV/atom

=====

13.
WSe2S2: relaxed, PBE-GGA.

Geometry as POSCAR:
```
WSe2S2
1.0
-5.578 -1.252 0.853
-1.301 -6.084 2.148
-1.722 1.866 7.403
Se W S
4 2 4
direct
0.448 0.543 0.210
0.991 0.457 0.210
0.552 0.457 0.790
0.009 0.543 0.790
0.121 0.758 0.000
0.879 0.242 0.000
0.131 0.000 0.731
0.869 0.000 0.269
0.358 0.000 0.886
0.642 0.000 0.114
```

Results
Total energy ... -29.4 eV per formula unit
Energy relative to the elements, uncorrected ... -0.24 eV/atom

=====

14.
WSeS2: relaxed, PBE-GGA.

Geometry as POSCAR:
```
WSeS2
1.0
1.888 0.000 8.219
-0.944 1.635 8.219
-0.944 -1.635 8.219
S Se W
2 1 1
direct
0.104 0.104 0.104
0.896 0.896 0.896
0.000 0.000 0.000
0.500 0.500 0.500
```

Results
Total energy ... -25.1 eV per formula unit
Energy relative to the elements, uncorrected ... -0.10 eV/atom

=====

15.
W3Se4S2: relaxed, PBE-GGA.

Geometry as POSCAR:
```
W3Se4S2
1.0
3.277 0.000 0.000
-1.638 2.838 0.000
0.000 0.000 25.262
Se W S
4 3 2
direct
0.000 0.000 0.277
0.333 0.667 0.570
0.000 0.000 0.412
0.333 0.667 0.705
0.000 0.000 0.638
0.000 0.000 0.059
0.333 0.667 0.345
0.333 0.667 0.120
0.333 0.667 0.998
```

Results
Total energy ... -66.8 eV per formula unit
Energy relative to the elements, uncorrected ... -0.64 eV/atom

=====

16.
W4Se2S3: relaxed, PBE-GGA.

Geometry as POSCAR:
```
W4Se2S3
1.0
5.329 0.002 -0.695
-1.208 8.976 -1.898
0.238 -1.312 9.157
W S Se
8 6 4
direct
0.949 0.368 0.368
0.853 0.910 0.850
0.647 0.150 0.090
0.353 0.850 0.910
0.051 0.632 0.632
0.449 0.368 0.368
0.551 0.632 0.632
0.147 0.090 0.150
0.488 0.047 0.815
0.250 0.603 0.397
0.750 0.397 0.603
0.012 0.185 0.953
0.988 0.815 0.047
0.512 0.953 0.185
0.837 0.835 0.560
0.337 0.560 0.835
0.663 0.440 0.165
0.163 0.165 0.440
```

Results
Total energy ... -73.4 eV per formula unit
Energy relative to the elements, uncorrected ... -0.25 eV/atom

=====

17.
WSe2S2: relaxed, PBE-GGA.

Geometry as POSCAR:
```
WSe2S2
1.0
6.844 0.000 0.000
0.000 6.844 0.000
0.000 0.000 4.544
Se S W
4 4 2
direct
0.663 0.163 0.000
0.337 0.837 0.000
0.163 0.337 0.000
0.837 0.663 0.000
0.748 0.752 0.500
0.248 0.748 0.500
0.252 0.248 0.500
0.752 0.252 0.500
0.500 0.500 0.000
0.000 0.000 0.000
```

Results
Total energy ... -24.4 eV per formula unit
Energy relative to the elements, uncorrected ... 0.76 eV/atom

=====

18.
W2Se3S: relaxed, PBE-GGA.

Geometry as POSCAR:
```
W2Se3S
1.0
0.175 1.900 2.678
-2.670 -1.842 -0.537
12.383 -22.330 15.034
W Se S
4 6 2
direct
0.333 0.667 0.749
0.000 0.000 0.000
0.333 0.667 0.252
0.000 0.000 0.501
0.000 0.000 0.807
0.000 0.000 0.195
0.000 0.000 0.692
0.000 0.000 0.310
0.333 0.667 0.444
0.333 0.667 0.558
0.333 0.667 0.948
0.333 0.667 0.052
```

Results
Total energy ... -44.2 eV per formula unit
Energy relative to the elements, uncorrected ... -0.62 eV/atom

=====

19.
WSe3S: relaxed, PBE-GGA.

Geometry as POSCAR:
```
WSe3S
1.0
4.891 0.000 0.000
0.000 4.891 0.000
0.000 0.000 4.891
Se W S
3 1 1
direct
0.500 0.000 0.000
0.000 0.500 0.000
0.000 0.000 0.500
0.000 0.000 0.000
0.500 0.500 0.500
```

Results
Total energy ... -24.6 eV per formula unit
Energy relative to the elements, uncorrected ... 0.58 eV/atom

=====

20.
WSeS: relaxed, PBE-GGA.

Geometry as POSCAR:
```
WSeS
1.0
3.138 0.000 0.000
-1.569 3.825 -0.402
0.000 -0.011 6.222
W Se S
1 1 1
direct
0.675 0.351 0.301
0.946 0.893 0.121
0.208 0.415 0.581
```

Results
Total energy ... -20.9 eV per formula unit
Energy relative to the elements, uncorrected ... -0.11 eV/atom

=====

21.
W3Se2S4: relaxed, PBE-GGA.

Geometry as POSCAR:
```
W3Se2S4
1.0
3.232 0.000 0.000
-1.616 2.799 0.000
0.000 0.000 21.872
Se S W
2 4 3
direct
0.000 0.000 0.079
0.000 0.000 0.921
0.333 0.667 0.596
0.333 0.667 0.262
0.333 0.667 0.404
0.333 0.667 0.738
0.000 0.000 0.667
0.333 0.667 0.000
0.000 0.000 0.333
```

Results
Total energy ... -68.9 eV per formula unit
Energy relative to the elements, uncorrected ... -0.73 eV/atom

=====

22.
W2Se2S: relaxed, PBE-GGA.

Geometry as POSCAR:
```
W2Se2S
1.0
-0.371 2.804 4.113
-6.491 0.224 2.291
-1.958 -4.108 5.653
W S Se
4 2 4
direct
0.899 0.030 0.172
0.101 0.970 0.828
0.505 0.694 0.297
0.495 0.306 0.703
0.669 0.294 0.367
0.331 0.706 0.633
0.917 0.369 0.796
0.649 0.835 0.867
0.351 0.165 0.133
0.083 0.631 0.204
```

Results
Total energy ... -36.9 eV per formula unit
Energy relative to the elements, uncorrected ... 0.02 eV/atom

=====

23.
W3Se4S2: relaxed, PBE-GGA.

Geometry as POSCAR:
```
W3Se4S2
1.0
3.277 0.000 0.000
-1.638 2.838 0.000
0.000 0.000 22.530
Se W S
4 3 2
direct
0.333 0.667 0.757
0.333 0.667 0.394
0.333 0.667 0.606
0.333 0.667 0.243
0.000 0.000 0.319
0.000 0.000 0.681
0.333 0.667 0.000
0.000 0.000 0.069
0.000 0.000 0.931
```

Results
Total energy ... -66.8 eV per formula unit
Energy relative to the elements, uncorrected ... -0.64 eV/atom

=====

24.
W2SeS3: relaxed, PBE-GGA.

Geometry as POSCAR:
```
W2SeS3
1.0
-2.822 -1.283 -0.876
2.689 -1.766 -0.152
-4.290 -8.838 26.753
W S Se
4 6 2
direct
0.333 0.667 0.496
0.333 0.667 0.007
0.667 0.333 0.252
0.667 0.333 0.749
0.333 0.667 0.307
0.667 0.333 0.952
0.667 0.333 0.061
0.667 0.333 0.550
0.333 0.667 0.197
0.667 0.333 0.441
0.333 0.667 0.809
0.333 0.667 0.688
```

Results
Total energy ... -46.3 eV per formula unit
Energy relative to the elements, uncorrected ... -0.75 eV/atom

=====

25.
WSeS: relaxed, PBE-GGA.

Geometry as POSCAR:
```
WSeS
1.0
1.628 -2.820 0.000
1.628 2.820 0.000
0.000 0.000 14.340
Se W S
2 2 2
direct
0.333 0.667 0.138
0.667 0.333 0.862
0.667 0.333 0.258
0.333 0.667 0.742
0.667 0.333 0.635
0.333 0.667 0.365
```

Results
Total energy ... -22.6 eV per formula unit
Energy relative to the elements, uncorrected ... -0.68 eV/atom